[1]
NdZn3Au2: relaxed, GGA-PBE.

Output
Magnetization ... 0.0000 μB per atom
Volume ... 120 Å³/f.u.
VASP energy ... -2.9501 eV per atom
ΔE_f ... -426 meV/atom
SG ... C2/m (12)

a = 4.200 Å, b = 8.345 Å, c = 7.925 Å
α = 115.58°, β = 90.00°, γ = 104.58°
Atoms (fractional coordinates):
Au: 0.524 0.048 0.187
Au: 0.792 0.584 0.277
Au: 0.208 0.416 0.723
Au: 0.476 0.952 0.813
Zn: 0.954 0.909 0.602
Zn: 0.309 0.617 0.532
Zn: 0.691 0.383 0.468
Zn: 0.401 0.802 0.318
Zn: 0.046 0.091 0.398
Zn: 0.599 0.198 0.682
Nd: 0.141 0.283 0.050
Nd: 0.859 0.717 0.950

---

[2]
PmAg2H8Rh3: relaxed, GGA-PBE.

Output
Magnetization ... 0.0000 μB per atom
Volume ... 140 Å³/f.u.
VASP energy ... -4.3897 eV per atom
SG ... R3m (160)

a = 5.846 Å, b = 5.846 Å, c = 5.810 Å
α = 59.79°, β = 59.79°, γ = 60.00°
Atoms (fractional coordinates):
Ag: 0.136 0.136 0.592
Ag: 0.496 0.496 0.512
Rh: 0.500 0.004 0.996
Rh: 0.004 0.500 0.996
Rh: 0.500 0.500 0.996
H: 0.742 0.742 0.168
H: 0.220 0.713 0.847
H: 0.718 0.718 0.845
H: 0.347 0.742 0.168
H: 0.713 0.220 0.847
H: 0.742 0.347 0.168
H: 0.220 0.220 0.847
H: 0.273 0.273 0.180
Pm: 0.881 0.881 0.357